The following is a PBEsol calculation of VNiP2O8 after structural relaxation, from Alexandria via LeMat-Bulk.

Lattice parameters (Å, degrees): 4.738 5.696 9.732 90.00 91.73 90.00
Fractional coordinates of all 24 atoms:
1 V 0.027 0.250 0.230
2 V 0.973 0.750 0.770
3 Ni 0.455 0.250 0.731
4 Ni 0.545 0.750 0.269
5 P 0.081 0.750 0.095
6 P 0.386 0.750 0.591
7 P 0.614 0.250 0.409
8 P 0.919 0.250 0.905
9 O 0.154 0.750 0.939
10 O 0.232 0.543 0.669
11 O 0.232 0.957 0.669
12 O 0.235 0.250 0.895
13 O 0.235 0.537 0.167
14 O 0.235 0.963 0.167
15 O 0.297 0.250 0.371
16 O 0.333 0.750 0.439
17 O 0.667 0.250 0.561
18 O 0.703 0.750 0.629
19 O 0.765 0.037 0.833
20 O 0.765 0.463 0.833
21 O 0.765 0.750 0.105
22 O 0.768 0.043 0.331
23 O 0.768 0.457 0.331
24 O 0.846 0.250 0.061

Calculated values
Space-group type: P2_1/m, No. 11
Formation energy (no corrections): -1.933 eV per atom

=====

The following is a PBEsol calculation of NaMgHg2Te after structural relaxation, from Alexandria via LeMat-Bulk.

Lattice parameters (Å, degrees): 5.252 5.252 5.695 90.00 90.00 90.00
Fractional coordinates of all 5 atoms:
1 Na 0.000 0.000 0.000
2 Mg 0.500 0.500 0.500
3 Hg 0.000 0.500 0.000
4 Hg 0.500 0.000 0.000
5 Te 0.000 0.000 0.500

Calculated values
Space-group type: P4/mmm, No. 123
Formation energy (no corrections): 0.148 eV per atom

=====

The following is a PBEsol calculation of Ta2Cd after structural relaxation, from Alexandria via LeMat-Bulk.

Lattice parameters (Å, degrees): 7.503 7.503 4.896 90.00 90.00 156.55
Fractional coordinates of all 6 atoms:
1 Ta 0.073 0.927 0.750
2 Ta 0.266 0.734 0.250
3 Ta 0.734 0.266 0.750
4 Ta 0.927 0.073 0.250
5 Cd 0.402 0.598 0.750
6 Cd 0.598 0.402 0.250

Calculated values
Total energy: -50.6 eV per cell
Space-group type: Cmcm, No. 63

=====

The following is a PBEsol calculation of TiSn3As after structural relaxation, from Alexandria via LeMat-Bulk.

Lattice parameters (Å, degrees): 5.202 5.202 5.202 90.00 90.00 90.00
Fractional coordinates of all 5 atoms:
1 Ti 0.000 0.000 0.000
2 Sn 0.000 0.000 0.500
3 Sn 0.000 0.500 0.000
4 Sn 0.500 0.000 0.000
5 As 0.500 0.500 0.500

Calculated values
Total energy: -23.6 eV per cell
Space-group type: Pm-3m, No. 221

=====

The following is a PBEsol calculation of KSrSe after structural relaxation, from Alexandria via LeMat-Bulk.

Lattice parameters (Å, degrees): 5.280 5.280 5.280 60.00 60.00 60.00
Fractional coordinates of all 3 atoms:
1 K 0.000 0.000 0.000
2 Sr 0.500 0.500 0.500
3 Se 0.750 0.750 0.750

Calculated values
Space-group type: F-43m, No. 216
Formation energy (no corrections): -1.009 eV per atom

=====

The following is a PBEsol calculation of BeCdNi2 after structural relaxation, from Alexandria via LeMat-Bulk.

Lattice parameters (Å, degrees): 4.205 4.205 2.782 90.00 90.00 100.71
Fractional coordinates of all 4 atoms:
1 Be 0.000 0.000 0.000
2 Cd 0.500 0.500 0.000
3 Ni 0.000 0.500 0.500
4 Ni 0.500 0.000 0.500

Calculated values
Total energy: -17.2 eV per cell
Space-group type: Cmmm, No. 65

=====

The following is a PBEsol calculation of AgTe2 after structural relaxation, from Alexandria via LeMat-Bulk.

Lattice parameters (Å, degrees): 6.863 6.863 6.863 90.00 90.00 90.00
Fractional coordinates of all 12 atoms:
1 Ag 0.000 0.000 0.000
2 Ag 0.000 0.500 0.500
3 Ag 0.500 0.000 0.500
4 Ag 0.500 0.500 0.000
5 Te 0.116 0.616 0.884
6 Te 0.116 0.884 0.384
7 Te 0.384 0.116 0.884
8 Te 0.384 0.384 0.384
9 Te 0.616 0.616 0.616
10 Te 0.616 0.884 0.116
11 Te 0.884 0.116 0.616
12 Te 0.884 0.384 0.116

Calculated values
Space-group type: Pa-3, No. 205
Formation energy (no corrections): -0.002 eV per atom

=====

The following is a PBEsol calculation of ZnNiIr2 after structural relaxation, from Alexandria via LeMat-Bulk.

Lattice parameters (Å, degrees): 4.572 4.572 4.572 132.01 132.01 70.22
Fractional coordinates of all 4 atoms:
1 Zn 0.000 0.000 0.000
2 Ni 0.250 0.750 0.500
3 Ir 0.500 0.500 0.000
4 Ir 0.750 0.250 0.500

Calculated values
Total energy: -27.6 eV per cell
Space-group type: I-4m2, No. 119

=====

The following is a PBEsol calculation of BaMgSi2 after structural relaxation, from Alexandria via LeMat-Bulk.

Lattice parameters (Å, degrees): 8.255 8.255 8.255 27.70 27.70 27.70
Fractional coordinates of all 4 atoms:
1 Ba 0.000 0.000 0.000
2 Mg 0.204 0.204 0.204
3 Si 0.460 0.460 0.460
4 Si 0.761 0.761 0.761

Calculated values
Space-group type: R3m, No. 160
Formation energy (no corrections): -0.047 eV per atom

=====

The following is a PBEsol calculation of MgTiMoP3O12 after structural relaxation, from Alexandria via LeMat-Bulk.

Lattice parameters (Å, degrees): 8.529 8.529 8.529 60.82 60.82 60.82
Fractional coordinates of all 36 atoms:
1 Mg 0.000 0.000 0.000
2 Mg 0.500 0.500 0.500
3 Ti 0.144 0.144 0.144
4 Ti 0.644 0.644 0.644
5 Mo 0.358 0.358 0.358
6 Mo 0.858 0.858 0.858
7 P 0.042 0.754 0.451
8 P 0.254 0.542 0.951
9 P 0.451 0.042 0.754
10 P 0.542 0.951 0.254
11 P 0.754 0.451 0.042
12 P 0.951 0.254 0.542
13 O 0.000 0.184 0.382
14 O 0.000 0.824 0.605
15 O 0.055 0.912 0.254
16 O 0.097 0.741 0.937
17 O 0.105 0.324 0.500
18 O 0.184 0.382 0.000
19 O 0.241 0.597 0.437
20 O 0.254 0.055 0.912
21 O 0.324 0.500 0.105
22 O 0.382 0.000 0.184
23 O 0.412 0.555 0.754
24 O 0.437 0.241 0.597
25 O 0.500 0.105 0.324
26 O 0.500 0.882 0.684
27 O 0.555 0.754 0.412
28 O 0.597 0.437 0.241
29 O 0.605 0.000 0.824
30 O 0.684 0.500 0.882
31 O 0.741 0.937 0.097
32 O 0.754 0.412 0.555
33 O 0.824 0.605 0.000
34 O 0.882 0.684 0.500
35 O 0.912 0.254 0.055
36 O 0.937 0.097 0.741

Calculated values
Space-group type: R3c, No. 161
Formation energy (no corrections): -2.348 eV per atom

=====

The following is a PBEsol calculation of TaTcPdW2 after structural relaxation, from Alexandria via LeMat-Bulk.

Lattice parameters (Å, degrees): 4.616 4.616 4.564 90.00 90.00 90.00
Fractional coordinates of all 5 atoms:
1 Ta 0.000 0.000 0.000
2 Tc 0.500 0.500 0.000
3 Pd 0.500 0.500 0.500
4 W 0.000 0.500 0.500
5 W 0.500 0.000 0.500

Calculated values
Total energy: -46.2 eV per cell
Space-group type: P4/mmm, No. 123

=====

The following is a PBEsol calculation of HfMnFeAg2 after structural relaxation, from Alexandria via LeMat-Bulk.

Lattice parameters (Å, degrees): 4.730 4.730 3.926 90.00 90.00 90.00
Fractional coordinates of all 5 atoms:
1 Hf 0.000 0.000 0.000
2 Mn 0.500 0.500 0.500
3 Fe 0.500 0.500 0.000
4 Ag 0.000 0.500 0.500
5 Ag 0.500 0.000 0.500

Calculated values
Total energy: -30.6 eV per cell
Space-group type: P4/mmm, No. 123

=====

| no. | M_tot (μB/atom) | N(E_F) (states/eV per atom) | ρ (g/cm³) |
| --- | --- | --- | --- |
| 1 | 0.25 | 0.346 | 3.79 |
| 2 | 0.00 | 0.271 | 6.09 |
| 3 | 0.00 | 0.829 | 14.36 |
| 4 | 0.00 | 0.861 | 5.65 |
| 5 | 0.28 | 0.283 | 3.28 |
| 6 | 0.00 | 0.332 | 8.20 |
| 7 | 0.00 | 0.662 | 7.46 |
| 8 | 0.00 | 0.596 | 16.32 |
| 9 | 0.00 | 0.315 | 3.37 |
| 10 | 0.17 | 0.207 | 3.37 |
| 11 | 0.00 | 1.591 | 12.86 |
| 12 | 0.38 | 1.095 | 9.55 |